First-principles (PBE) data for a relaxed NbMo2W3 crystal, as listed in Alexandria via LeMat-Bulk.

```
data_NbMo2W3
_chemical_formula_sum 'Nb2 Mo4 W6'
_cell_length_a 4.6144
_cell_length_b 5.3483
_cell_length_c 8.0955
_cell_angle_alpha 90.00
_cell_angle_beta 90.00
_cell_angle_gamma 90.00
_space_group_name_H-M_alt 'P 1'
_space_group_IT_number 1
loop_
_space_group_symop_operation_xyz
'x,y,z'
loop_
_atom_site_label
_atom_site_type_symbol
_atom_site_fract_x
_atom_site_fract_y
_atom_site_fract_z
Nb1 Nb 0.0000 0.8922 0.8409
Nb2 Nb 0.0000 0.3922 0.1591
Mo1 Mo 0.0000 0.8906 0.1775
Mo2 Mo 0.5000 0.1679 0.3844
Mo3 Mo 0.0000 0.3906 0.8225
Mo4 Mo 0.5000 0.6679 0.6156
W1 W 0.5000 0.1369 0.0496
W2 W 0.5000 0.1649 0.7150
W3 W 0.0000 0.4488 0.4999
W4 W 0.5000 0.6369 0.9504
W5 W 0.5000 0.6649 0.2850
W6 W 0.0000 0.9488 0.5001
```

E = -11.5526 eV per atom